(1)
# CrGeSbO6

A relaxed structure of CrGeSbO6 (PBEsol, Alexandria).

Calculated values
Total moment in μB per formula unit: 3.0
Raw formation energy in meV per atom: -1681
E_tot in eV per atom: -7.373

The structure in CIF format:
```
data_CrGeSbO6
_cell_length_a 4.534
_cell_length_b 4.534
_cell_length_c 9.025
_cell_angle_alpha 90.00
_cell_angle_beta 90.00
_cell_angle_gamma 90.00
_symmetry_space_group_name_H-M 'P 1'
_symmetry_Int_Tables_number 1
loop_
_symmetry_equiv_pos_as_xyz
'x,y,z'
loop_
_atom_site_label
_atom_site_type_symbol
_atom_site_fract_x
_atom_site_fract_y
_atom_site_fract_z
Cr1 Cr 0.000 0.000 0.000
Cr2 Cr 0.500 0.500 0.500
Ge1 Ge 0.000 0.000 0.667
Ge2 Ge 0.500 0.500 0.167
Sb1 Sb 0.000 0.000 0.333
Sb2 Sb 0.500 0.500 0.833
O1 O 0.188 0.188 0.829
O2 O 0.193 0.193 0.506
O3 O 0.200 0.200 0.165
O4 O 0.300 0.700 0.665
O5 O 0.307 0.693 0.006
O6 O 0.312 0.688 0.329
O7 O 0.688 0.312 0.329
O8 O 0.693 0.307 0.006
O9 O 0.700 0.300 0.665
O10 O 0.800 0.800 0.165
O11 O 0.807 0.807 0.506
O12 O 0.812 0.812 0.829
```


(2)
# SmCrGeO5

A relaxed structure of SmCrGeO5 (PBEsol, Alexandria).

Calculated values
Total moment in μB per formula unit: 3.0
Raw formation energy in meV per atom: -2422
E_tot in eV per atom: -8.237

The structure in CIF format:
```
data_SmCrGeO5
_cell_length_a 7.364
_cell_length_b 8.476
_cell_length_c 5.758
_cell_angle_alpha 90.00
_cell_angle_beta 90.00
_cell_angle_gamma 90.00
_symmetry_space_group_name_H-M 'P 1'
_symmetry_Int_Tables_number 1
loop_
_symmetry_equiv_pos_as_xyz
'x,y,z'
loop_
_atom_site_label
_atom_site_type_symbol
_atom_site_fract_x
_atom_site_fract_y
_atom_site_fract_z
Sm1 Sm 0.141 0.174 0.000
Sm2 Sm 0.359 0.674 0.000
Sm3 Sm 0.641 0.326 0.000
Sm4 Sm 0.859 0.826 0.000
Cr1 Cr 0.000 0.500 0.251
Cr2 Cr 0.000 0.500 0.749
Cr3 Cr 0.500 0.000 0.251
Cr4 Cr 0.500 0.000 0.749
Ge1 Ge 0.115 0.856 0.500
Ge2 Ge 0.385 0.356 0.500
Ge3 Ge 0.615 0.644 0.500
Ge4 Ge 0.885 0.144 0.500
O1 O 0.000 0.000 0.289
O2 O 0.000 0.000 0.711
O3 O 0.105 0.716 0.254
O4 O 0.105 0.716 0.746
O5 O 0.159 0.426 0.500
O6 O 0.167 0.447 0.000
O7 O 0.333 0.947 0.000
O8 O 0.341 0.926 0.500
O9 O 0.395 0.216 0.254
O10 O 0.395 0.216 0.746
O11 O 0.500 0.500 0.289
O12 O 0.500 0.500 0.711
O13 O 0.605 0.784 0.254
O14 O 0.605 0.784 0.746
O15 O 0.659 0.074 0.500
O16 O 0.667 0.053 0.000
O17 O 0.833 0.553 0.000
O18 O 0.841 0.574 0.500
O19 O 0.895 0.284 0.254
O20 O 0.895 0.284 0.746
```


(3)
# TbCrGeO5

A relaxed structure of TbCrGeO5 (PBEsol, Alexandria).

Calculated values
Total moment in μB per formula unit: 3.0
Raw formation energy in meV per atom: -2446
E_tot in eV per atom: -8.250

The structure in CIF format:
```
data_TbCrGeO5
_cell_length_a 7.275
_cell_length_b 8.404
_cell_length_c 5.726
_cell_angle_alpha 90.00
_cell_angle_beta 90.00
_cell_angle_gamma 90.00
_symmetry_space_group_name_H-M 'P 1'
_symmetry_Int_Tables_number 1
loop_
_symmetry_equiv_pos_as_xyz
'x,y,z'
loop_
_atom_site_label
_atom_site_type_symbol
_atom_site_fract_x
_atom_site_fract_y
_atom_site_fract_z
Tb1 Tb 0.141 0.174 0.000
Tb2 Tb 0.359 0.674 0.000
Tb3 Tb 0.641 0.326 0.000
Tb4 Tb 0.859 0.826 0.000
Cr1 Cr 0.000 0.500 0.249
Cr2 Cr 0.000 0.500 0.751
Cr3 Cr 0.500 0.000 0.249
Cr4 Cr 0.500 0.000 0.751
Ge1 Ge 0.114 0.855 0.500
Ge2 Ge 0.386 0.355 0.500
Ge3 Ge 0.614 0.645 0.500
Ge4 Ge 0.886 0.145 0.500
O1 O 0.000 0.000 0.287
O2 O 0.000 0.000 0.713
O3 O 0.107 0.716 0.250
O4 O 0.107 0.716 0.750
O5 O 0.157 0.423 0.500
O6 O 0.170 0.445 0.000
O7 O 0.330 0.945 0.000
O8 O 0.343 0.923 0.500
O9 O 0.393 0.216 0.250
O10 O 0.393 0.216 0.750
O11 O 0.500 0.500 0.287
O12 O 0.500 0.500 0.713
O13 O 0.607 0.784 0.250
O14 O 0.607 0.784 0.750
O15 O 0.657 0.077 0.500
O16 O 0.670 0.055 0.000
O17 O 0.830 0.555 0.000
O18 O 0.843 0.577 0.500
O19 O 0.893 0.284 0.250
O20 O 0.893 0.284 0.750
```


(4)
# PrCrGe3

A relaxed structure of PrCrGe3 (PBEsol, Alexandria).

Calculated values
Total moment in μB per formula unit: 1.3
E_tot in eV per atom: -6.497
Density of states at the Fermi level in states/eV per atom: 0.33

The structure in CIF format:
```
data_PrCrGe3
_cell_length_a 6.089
_cell_length_b 6.089
_cell_length_c 5.643
_cell_angle_alpha 90.00
_cell_angle_beta 90.00
_cell_angle_gamma 120.00
_symmetry_space_group_name_H-M 'P 1'
_symmetry_Int_Tables_number 1
loop_
_symmetry_equiv_pos_as_xyz
'x,y,z'
loop_
_atom_site_label
_atom_site_type_symbol
_atom_site_fract_x
_atom_site_fract_y
_atom_site_fract_z
Pr1 Pr 0.333 0.667 0.250
Pr2 Pr 0.667 0.333 0.750
Cr1 Cr 0.000 0.000 0.000
Cr2 Cr 0.000 0.000 0.500
Ge1 Ge 0.192 0.383 0.750
Ge2 Ge 0.192 0.808 0.750
Ge3 Ge 0.383 0.192 0.250
Ge4 Ge 0.617 0.808 0.750
Ge5 Ge 0.808 0.192 0.250
Ge6 Ge 0.808 0.617 0.250
```


(5)
# CrGePt3

A relaxed structure of CrGePt3 (PBEsol, Alexandria).

Calculated values
Total moment in μB per formula unit: 0.0
E_tot in eV per atom: -6.245
Density of states at the Fermi level in states/eV per atom: 0.90

The structure in CIF format:
```
data_CrGePt3
_cell_length_a 4.544
_cell_length_b 4.544
_cell_length_c 4.544
_cell_angle_alpha 90.00
_cell_angle_beta 90.00
_cell_angle_gamma 90.00
_symmetry_space_group_name_H-M 'P 1'
_symmetry_Int_Tables_number 1
loop_
_symmetry_equiv_pos_as_xyz
'x,y,z'
loop_
_atom_site_label
_atom_site_type_symbol
_atom_site_fract_x
_atom_site_fract_y
_atom_site_fract_z
Cr1 Cr 0.000 0.000 0.000
Ge1 Ge 0.500 0.500 0.500
Pt1 Pt 0.000 0.000 0.500
Pt2 Pt 0.000 0.500 0.000
Pt3 Pt 0.500 0.000 0.000
```


(6)
# Cr2TcGePt

A relaxed structure of Cr2TcGePt (PBEsol, Alexandria).

Calculated values
Total moment in μB per formula unit: 2.0
E_tot in eV per atom: -7.379
Density of states at the Fermi level in states/eV per atom: 0.98

The structure in CIF format:
```
data_Cr2TcGePt
_cell_length_a 4.402
_cell_length_b 4.402
_cell_length_c 4.493
_cell_angle_alpha 90.00
_cell_angle_beta 90.00
_cell_angle_gamma 90.00
_symmetry_space_group_name_H-M 'P 1'
_symmetry_Int_Tables_number 1
loop_
_symmetry_equiv_pos_as_xyz
'x,y,z'
loop_
_atom_site_label
_atom_site_type_symbol
_atom_site_fract_x
_atom_site_fract_y
_atom_site_fract_z
Cr1 Cr 0.000 0.500 0.000
Cr2 Cr 0.500 0.000 0.000
Tc1 Tc 0.000 0.000 0.500
Ge1 Ge 0.500 0.500 0.000
Pt1 Pt 0.500 0.500 0.500
```


(7)
# CrReGe3

A relaxed structure of CrReGe3 (PBEsol, Alexandria).

Calculated values
Total moment in μB per formula unit: 5.3
E_tot in eV per atom: -6.867
Density of states at the Fermi level in states/eV per atom: 0.39

The structure in CIF format:
```
data_CrReGe3
_cell_length_a 4.780
_cell_length_b 4.780
_cell_length_c 4.780
_cell_angle_alpha 90.00
_cell_angle_beta 90.00
_cell_angle_gamma 90.00
_symmetry_space_group_name_H-M 'P 1'
_symmetry_Int_Tables_number 1
loop_
_symmetry_equiv_pos_as_xyz
'x,y,z'
loop_
_atom_site_label
_atom_site_type_symbol
_atom_site_fract_x
_atom_site_fract_y
_atom_site_fract_z
Cr1 Cr 0.000 0.000 0.000
Re1 Re 0.500 0.500 0.500
Ge1 Ge 0.000 0.500 0.500
Ge2 Ge 0.500 0.000 0.500
Ge3 Ge 0.500 0.500 0.000
```


(8)
# CrGe2Rh

A relaxed structure of CrGe2Rh (PBEsol, Alexandria).

Calculated values
Total moment in μB per formula unit: 0.0
E_tot in eV per atom: -7.194
Density of states at the Fermi level in states/eV per atom: 0.84

The structure in CIF format:
```
data_CrGe2Rh
_cell_length_a 4.213
_cell_length_b 4.213
_cell_length_c 4.213
_cell_angle_alpha 60.00
_cell_angle_beta 60.00
_cell_angle_gamma 60.00
_symmetry_space_group_name_H-M 'P 1'
_symmetry_Int_Tables_number 1
loop_
_symmetry_equiv_pos_as_xyz
'x,y,z'
loop_
_atom_site_label
_atom_site_type_symbol
_atom_site_fract_x
_atom_site_fract_y
_atom_site_fract_z
Cr1 Cr 0.000 0.000 0.000
Ge1 Ge 0.250 0.250 0.250
Ge2 Ge 0.750 0.750 0.750
Rh1 Rh 0.500 0.500 0.500
```


(9)
# Y6CrGe2S14

A relaxed structure of Y6CrGe2S14 (PBEsol, Alexandria).

Calculated values
Total moment in μB per formula unit: 3.6
Raw formation energy in meV per atom: -1552
E_tot in eV per atom: -6.875
Density of states at the Fermi level in states/eV per atom: 0.32

The structure in CIF format:
```
data_Y6CrGe2S14
_cell_length_a 9.700
_cell_length_b 9.700
_cell_length_c 5.674
_cell_angle_alpha 90.00
_cell_angle_beta 90.00
_cell_angle_gamma 120.00
_symmetry_space_group_name_H-M 'P 1'
_symmetry_Int_Tables_number 1
loop_
_symmetry_equiv_pos_as_xyz
'x,y,z'
loop_
_atom_site_label
_atom_site_type_symbol
_atom_site_fract_x
_atom_site_fract_y
_atom_site_fract_z
Y1 Y 0.023 0.557 0.000
Y2 Y 0.308 0.107 0.502
Y3 Y 0.443 0.466 0.000
Y4 Y 0.534 0.977 0.000
Y5 Y 0.799 0.692 0.502
Y6 Y 0.893 0.201 0.502
Cr1 Cr 0.667 0.333 0.285
Ge1 Ge 0.000 0.000 0.926
Ge2 Ge 0.333 0.667 0.419
S1 S 0.000 0.000 0.310
S2 S 0.087 0.848 0.764
S3 S 0.152 0.239 0.764
S4 S 0.183 0.428 0.257
S5 S 0.244 0.817 0.257
S6 S 0.333 0.667 0.803
S7 S 0.422 0.182 0.047
S8 S 0.512 0.425 0.517
S9 S 0.572 0.756 0.257
S10 S 0.575 0.087 0.517
S11 S 0.761 0.578 0.047
S12 S 0.761 0.913 0.764
S13 S 0.818 0.239 0.047
S14 S 0.913 0.488 0.517
```


(10)
# CrGeSb2

A relaxed structure of CrGeSb2 (PBEsol, Alexandria).

Calculated values
Total moment in μB per formula unit: 3.9
Raw formation energy in meV per atom: 440
E_tot in eV per atom: -5.634
Density of states at the Fermi level in states/eV per atom: 0.36

The structure in CIF format:
```
data_CrGeSb2
_cell_length_a 7.296
_cell_length_b 7.296
_cell_length_c 7.296
_cell_angle_alpha 128.95
_cell_angle_beta 128.95
_cell_angle_gamma 75.09
_symmetry_space_group_name_H-M 'P 1'
_symmetry_Int_Tables_number 1
loop_
_symmetry_equiv_pos_as_xyz
'x,y,z'
loop_
_atom_site_label
_atom_site_type_symbol
_atom_site_fract_x
_atom_site_fract_y
_atom_site_fract_z
Cr1 Cr 0.000 0.000 0.000
Cr2 Cr 0.750 0.250 0.500
Ge1 Ge 0.250 0.750 0.500
Ge2 Ge 0.500 0.500 0.000
Sb1 Sb 0.125 0.625 0.000
Sb2 Sb 0.375 0.375 0.500
Sb3 Sb 0.625 0.125 0.000
Sb4 Sb 0.875 0.875 0.500
```


(11)
# Cr2SiGeSb

A relaxed structure of Cr2SiGeSb (PBEsol, Alexandria).

Calculated values
Total moment in μB per formula unit: 7.3
Raw formation energy in meV per atom: 1495
E_tot in eV per atom: -5.650
Density of states at the Fermi level in states/eV per atom: 0.45

The structure in CIF format:
```
data_Cr2SiGeSb
_cell_length_a 4.983
_cell_length_b 4.983
_cell_length_c 5.139
_cell_angle_alpha 90.00
_cell_angle_beta 90.00
_cell_angle_gamma 90.00
_symmetry_space_group_name_H-M 'P 1'
_symmetry_Int_Tables_number 1
loop_
_symmetry_equiv_pos_as_xyz
'x,y,z'
loop_
_atom_site_label
_atom_site_type_symbol
_atom_site_fract_x
_atom_site_fract_y
_atom_site_fract_z
Cr1 Cr 0.000 0.500 0.000
Cr2 Cr 0.500 0.000 0.000
Si1 Si 0.000 0.000 0.500
Ge1 Ge 0.500 0.500 0.500
Sb1 Sb 0.500 0.500 0.000
```


(12)
# ScCrGe2

A relaxed structure of ScCrGe2 (PBEsol, Alexandria).

Calculated values
Total moment in μB per formula unit: 2.7
Energy relative to the lowest polymorph listed for this composition in eV per atom: 0.395
E_tot in eV per atom: -6.830
Density of states at the Fermi level in states/eV per atom: 1.15

The structure in CIF format:
```
data_ScCrGe2
_cell_length_a 4.508
_cell_length_b 4.508
_cell_length_c 4.508
_cell_angle_alpha 60.00
_cell_angle_beta 60.00
_cell_angle_gamma 60.00
_symmetry_space_group_name_H-M 'P 1'
_symmetry_Int_Tables_number 1
loop_
_symmetry_equiv_pos_as_xyz
'x,y,z'
loop_
_atom_site_label
_atom_site_type_symbol
_atom_site_fract_x
_atom_site_fract_y
_atom_site_fract_z
Sc1 Sc 0.000 0.000 0.000
Cr1 Cr 0.500 0.500 0.500
Ge1 Ge 0.250 0.250 0.250
Ge2 Ge 0.750 0.750 0.750
```